1.
The following is a GGA-PBE calculation of a geometry-optimized AlIrOs2 structure, from the Alexandria database.

Output
The energy of formation comes out at -0.05 eV/atom.

Structure (extended XYZ):
```
4
Lattice="2.7802 0.0000 0.0000 0.0000 2.7802 0.0000 0.0000 0.0000 7.3569" Properties=species:S:1:pos:R:3 pbc="T T T"
Al 0.0000 0.0000 0.0000
Ir 0.0000 0.0000 3.6784
Os 1.3901 1.3901 1.7979
Os 1.3901 1.3901 5.5590
```

2.
The following is a GGA-PBE calculation of a geometry-optimized AlIr2Os structure, from the Alexandria database.

Output
The energy of formation comes out at -0.10 eV/atom.

Structure (extended XYZ):
```
4
Lattice="4.5951 0.0000 0.0000 0.0000 4.5951 0.0000 0.0000 0.0000 2.7674" Properties=species:S:1:pos:R:3 pbc="T T T"
Al 0.0000 0.0000 0.0000
Ir 0.0000 2.2976 1.3837
Ir 2.2976 0.0000 1.3837
Os 2.2976 2.2976 0.0000
```

3.
The following is a GGA-PBE calculation of a geometry-optimized AlIrOs2 structure, from the Alexandria database.

Output
The energy of formation comes out at -0.03 eV/atom.

Structure (extended XYZ):
```
4
Lattice="-1.4325 2.1801 4.5678 1.4325 -2.1801 4.5678 1.4325 2.1801 -4.5678" Properties=species:S:1:pos:R:3 pbc="T T T"
Al 0.0000 0.0000 0.0000
Ir 0.0000 0.0000 4.5678
Os 1.4325 0.0000 2.0342
Os 0.0000 2.1801 2.5336
```

4.
The following is a GGA-PBE calculation of a geometry-optimized PrAl4Ir2Os structure, from the Alexandria database.

Output
The energy of formation comes out at -0.69 eV/atom.

Structure (extended XYZ):
```
8
Lattice="2.1237 1.2261 8.8726 -2.1237 1.2261 8.8726 0.0000 -2.4522 8.8726" Properties=species:S:1:pos:R:3 pbc="T T T"
Pr 0.0000 0.0000 0.0000
Al 0.0000 0.0000 3.5623
Al 0.0000 0.0000 10.8312
Al 0.0000 0.0000 15.7867
Al 0.0000 0.0000 23.0555
Ir 0.0000 0.0000 6.2726
Ir 0.0000 0.0000 20.3453
Os 0.0000 0.0000 13.3089
```

5.
The following is a GGA-PBE calculation of a geometry-optimized AlIrOsPt2 structure, from the Alexandria database.

Output
The energy of formation comes out at 1.61 eV/atom.

Structure (extended XYZ):
```
5
Lattice="4.8322 0.0000 0.0000 0.0000 4.8322 0.0000 0.0000 0.0000 4.4520" Properties=species:S:1:pos:R:3 pbc="T T T"
Al 0.0000 0.0000 0.0000
Ir 0.0000 0.0000 2.2260
Os 2.4161 2.4161 0.0000
Pt 0.0000 2.4161 2.2260
Pt 2.4161 0.0000 2.2260
```

6.
The following is a GGA-PBE calculation of a geometry-optimized Rb2AlIrOs structure, from the Alexandria database.

Output
The energy of formation comes out at 1.63 eV/atom.

Structure (extended XYZ):
```
5
Lattice="6.4080 0.0000 0.0000 0.0000 6.4080 0.0000 0.0000 0.0000 4.6681" Properties=species:S:1:pos:R:3 pbc="T T T"
Rb 0.0000 3.2040 0.0000
Rb 3.2040 0.0000 0.0000
Al 0.0000 0.0000 2.3341
Ir 0.0000 0.0000 0.0000
Os 3.2040 3.2040 2.3341
```

7.
The following is a GGA-PBE calculation of a geometry-optimized TaAlIrOs structure, from the Alexandria database.

Output
The energy of formation comes out at -0.52 eV/atom.

Structure (extended XYZ):
```
4
Lattice="0.0000 3.1262 3.1262 3.1262 0.0000 3.1262 3.1262 3.1262 0.0000" Properties=species:S:1:pos:R:3 pbc="T T T"
Ta 0.0000 0.0000 0.0000
Al 3.1262 3.1262 3.1262
Ir 1.5631 1.5631 1.5631
Os 4.6893 4.6893 4.6893
```

8.
The following is a GGA-PBE calculation of a geometry-optimized TaAlIrOs structure, from the Alexandria database.

Output
The energy of formation comes out at -0.60 eV/atom.

Structure (extended XYZ):
```
4
Lattice="-2.1020 2.1020 3.4490 2.1020 -2.1020 3.4490 2.1020 2.1020 -3.4490" Properties=species:S:1:pos:R:3 pbc="T T T"
Ta 0.0000 0.0000 0.0000
Al 0.0000 0.0000 3.4490
Ir 0.0000 2.1020 1.7245
Os 2.1020 0.0000 1.7245
```

9.
The following is a GGA-PBE calculation of a geometry-optimized Al2TlIrOs structure, from the Alexandria database.

Output
The energy of formation comes out at 2.19 eV/atom.

Structure (extended XYZ):
```
5
Lattice="4.8105 0.0000 0.0000 0.0000 4.8105 0.0000 0.0000 0.0000 4.9858" Properties=species:S:1:pos:R:3 pbc="T T T"
Al 0.0000 2.4052 0.0000
Al 2.4052 0.0000 0.0000
Tl 0.0000 0.0000 0.0000
Ir 0.0000 0.0000 2.4929
Os 2.4052 2.4052 2.4929
```

10.
The following is a GGA-PBE calculation of a geometry-optimized AlP2Ir structure, from the Alexandria database.

Output
The energy of formation comes out at -0.12 eV/atom.

Structure (extended XYZ):
```
4
Lattice="3.5174 0.0000 0.0000 0.0000 3.5174 0.0000 0.0000 0.0000 4.9684" Properties=species:S:1:pos:R:3 pbc="T T T"
Al 0.0000 0.0000 0.0000
P 0.0000 0.0000 2.4570
P 1.7587 1.7587 4.6634
Ir 1.7587 1.7587 2.2630
```

11.
The following is a GGA-PBE calculation of a geometry-optimized AlP2Ir structure, from the Alexandria database.

Output
The energy of formation comes out at -0.29 eV/atom.

Structure (extended XYZ):
```
8
Lattice="-2.7589 2.7589 5.1354 2.7589 -2.7589 5.1354 2.7589 2.7589 -5.1354" Properties=species:S:1:pos:R:3 pbc="T T T"
Al 0.0000 0.0000 0.0000
Al 0.0000 2.7589 2.5677
P 1.3794 -1.2877 3.8516
P 1.4712 1.3794 1.2839
P 1.3794 4.0466 -1.2839
P 1.2877 1.3794 6.4193
Ir 2.7589 0.0000 2.5677
Ir 0.0000 0.0000 5.1354
```

12.
The following is a GGA-PBE calculation of a geometry-optimized AlP2Ir structure, from the Alexandria database.

Output
The energy of formation comes out at 0.10 eV/atom.

Structure (extended XYZ):
```
4
Lattice="4.4313 0.0000 0.0000 0.0000 4.4313 0.0000 0.0000 0.0000 2.8641" Properties=species:S:1:pos:R:3 pbc="T T T"
Al 0.0000 0.0000 0.0000
P 0.0000 2.2156 1.4320
P 2.2156 0.0000 1.4320
Ir 2.2156 2.2156 0.0000
```

13.
The following is a GGA-PBE calculation of a geometry-optimized AlP2Ir structure, from the Alexandria database.

Output
The energy of formation comes out at 0.23 eV/atom.

Structure (extended XYZ):
```
4
Lattice="1.3694 -2.4557 0.0000 1.3694 2.4557 0.0000 0.0000 0.0000 9.1133" Properties=species:S:1:pos:R:3 pbc="T T T"
Al 0.0000 0.0000 0.0000
P 1.3694 0.0000 2.4872
P 1.3694 0.0000 6.6262
Ir 0.0000 0.0000 4.5567
```

14.
The following is a GGA-PBE calculation of a geometry-optimized AlPIr4 structure, from the Alexandria database.

Output
The energy of formation comes out at 0.52 eV/atom.

Structure (extended XYZ):
```
6
Lattice="0.0000 3.6581 3.6581 3.6581 0.0000 3.6581 3.6581 3.6581 0.0000" Properties=species:S:1:pos:R:3 pbc="T T T"
Al 0.0000 0.0000 0.0000
P 1.8291 1.8291 1.8291
Ir 4.5715 2.7448 2.7448
Ir 2.7448 4.5715 2.7448
Ir 2.7448 2.7448 4.5715
Ir 4.5715 4.5715 4.5715
```

15.
The following is a GGA-PBE calculation of a geometry-optimized Al2PIr structure, from the Alexandria database.

Output
The energy of formation comes out at -0.27 eV/atom.

Structure (extended XYZ):
```
4
Lattice="-1.9446 1.9446 3.7664 1.9446 -1.9446 3.7664 1.9446 1.9446 -3.7664" Properties=species:S:1:pos:R:3 pbc="T T T"
Al 1.9446 0.0000 1.8832
Al 0.0000 1.9446 1.8832
P 0.0000 0.0000 0.0000
Ir 0.0000 0.0000 3.7664
```